VASP calculation (PBE) on a relaxed La2ZrGeMo crystal. Values from VASP.

Quantum ESPRESSO input file:
```
&SYSTEM
  ibrav = 0, nat = 5, ntyp = 4
/
ATOMIC_SPECIES
Ge 72.64 Ge.upf
Mo 95.94 Mo.upf
La 138.91 La.upf
Zr 91.22 Zr.upf
CELL_PARAMETERS angstrom
-1.1114 -3.4605 4.0591
4.1040 1.4809 2.3862
-2.8693 3.8831 2.5249
ATOMIC_POSITIONS crystal
Ge 0.0000 0.5000 0.0000
Mo 0.0000 0.0000 0.0000
La 0.5000 0.0000 0.0000
La 0.0000 0.0000 0.5000
Zr 0.5000 0.5000 0.5000
```

Size of the total moment: 0.421 μB/atom
Final energy: -6.260 eV per atom
E_form: 0.510 eV per atom

***

VASP calculation (PBE) on a relaxed Tl3SiTe4 crystal. Values from VASP.

Quantum ESPRESSO input file:
```
&SYSTEM
  ibrav = 0, nat = 32, ntyp = 3
/
ATOMIC_SPECIES
Te 127.60 Te.upf
Tl 204.38 Tl.upf
Si 28.09 Si.upf
CELL_PARAMETERS angstrom
-0.5793 7.2778 -6.3944
-7.5945 -4.6365 -4.5891
-7.6387 5.5616 7.0220
ATOMIC_POSITIONS crystal
Te 0.3346 0.4651 0.0703
Te 0.6654 0.5349 0.5703
Te 0.1654 0.9651 0.5703
Te 0.1758 0.7823 0.2500
Te 0.5341 0.9324 0.7500
Te 0.0341 0.5676 0.7500
Te 0.1654 0.9651 0.9297
Te 0.6758 0.7177 0.2500
Te 0.8346 0.0349 0.4297
Te 0.3346 0.4651 0.4297
Te 0.6654 0.5349 0.9297
Te 0.4659 0.0676 0.2500
Te 0.9659 0.4324 0.2500
Te 0.8346 0.0349 0.0703
Te 0.3242 0.2823 0.7500
Te 0.8242 0.2177 0.7500
Tl 0.0750 0.1215 0.2500
Tl 0.9250 0.8785 0.7500
Tl 0.4253 0.8009 0.4430
Tl 0.4250 0.6215 0.7500
Tl 0.4253 0.8009 0.0570
Tl 0.9253 0.6991 0.4430
Tl 0.0747 0.3009 0.5570
Tl 0.0747 0.3009 0.9430
Tl 0.5747 0.1991 0.5570
Tl 0.5747 0.1991 0.9430
Tl 0.5750 0.3785 0.2500
Tl 0.9253 0.6991 0.0570
Si 0.7064 0.9695 0.2500
Si 0.7936 0.4695 0.7500
Si 0.2936 0.0305 0.7500
Si 0.2064 0.5305 0.2500
```

Size of the total moment: 0.000 μB/atom
Offset from the most stable computed form: 0.000 kcal/mol of atoms
Final energy: -3.320 eV per atom

***

VASP calculation (PBE) on a relaxed Pr4SmMg crystal. Values from VASP.

Quantum ESPRESSO input file:
```
&SYSTEM
  ibrav = 0, nat = 6, ntyp = 3
/
ATOMIC_SPECIES
Pr 140.91 Pr.upf
Mg 24.30 Mg.upf
Sm 150.36 Sm.upf
CELL_PARAMETERS angstrom
5.8006 0.0000 0.0000
0.0002 6.4537 0.0228
0.0001 0.0337 6.4536
ATOMIC_POSITIONS crystal
Pr 0.5000 0.6718 0.3282
Pr 0.5000 0.3282 0.6718
Pr 0.0000 0.1761 0.1761
Pr 0.0000 0.8239 0.8239
Mg 0.0000 0.5000 0.5000
Sm 0.5000 0.0000 0.0000
```

Size of the total moment: 0.000 μB/atom
Offset from the most stable computed form: 15.156 kcal/mol of atoms
Final energy: -3.607 eV per atom
E_form: 0.632 eV per atom

***

VASP calculation (PBE) on a relaxed NdGdLuIn crystal. Values from VASP.

Quantum ESPRESSO input file:
```
&SYSTEM
  ibrav = 0, nat = 4, ntyp = 4
/
ATOMIC_SPECIES
Gd 157.25 Gd.upf
Lu 174.97 Lu.upf
In 114.82 In.upf
Nd 144.24 Nd.upf
CELL_PARAMETERS angstrom
5.4987 0.0000 0.0000
2.7493 4.7620 0.0000
2.7493 1.5873 4.4896
ATOMIC_POSITIONS crystal
Gd 0.0000 0.0000 0.0000
Lu 0.7500 0.7500 0.7500
In 0.2500 0.2500 0.2500
Nd 0.5000 0.5000 0.5000
```

Size of the total moment: 2.040 μB/atom
Final energy: -6.700 eV per atom
E_form: -0.173 eV per atom

***

VASP calculation (PBE) on a relaxed Ge2PSeBr crystal. Values from VASP.

Quantum ESPRESSO input file:
```
&SYSTEM
  ibrav = 0, nat = 5, ntyp = 4
/
ATOMIC_SPECIES
Se 78.96 Se.upf
Ge 72.64 Ge.upf
Br 79.90 Br.upf
P 30.97 P.upf
CELL_PARAMETERS angstrom
5.3281 0.0000 0.0000
0.0000 4.8971 0.0000
0.0000 0.0000 5.3281
ATOMIC_POSITIONS crystal
Se 0.0000 0.0000 0.0000
Ge 0.0000 0.0000 0.5000
Ge 0.5000 0.0000 0.0000
Br 0.0000 0.5000 0.0000
P 0.5000 0.5000 0.5000
```

Size of the total moment: 0.000 μB/atom
Final energy: -3.013 eV per atom

***

VASP calculation (PBE) on a relaxed IrRuBr crystal. Values from VASP.

Quantum ESPRESSO input file:
```
&SYSTEM
  ibrav = 0, nat = 3, ntyp = 3
/
ATOMIC_SPECIES
Br 79.90 Br.upf
Ir 192.22 Ir.upf
Ru 101.07 Ru.upf
CELL_PARAMETERS angstrom
-2.7217 -1.0296 -0.6461
1.3169 -0.7726 2.5601
-2.6102 5.0929 2.8797
ATOMIC_POSITIONS crystal
Br 0.0000 0.0000 0.9826
Ir 0.6667 0.3333 0.3547
Ru 0.3333 0.6667 0.6627
```

Size of the total moment: 0.000 μB/atom
Offset from the most stable computed form: 0.000 kcal/mol of atoms
Final energy: -5.866 eV per atom

***

VASP calculation (PBE) on a relaxed PuHfPa crystal. Values from VASP.

Quantum ESPRESSO input file:
```
&SYSTEM
  ibrav = 0, nat = 3, ntyp = 3
/
ATOMIC_SPECIES
Pa 231.04 Pa.upf
Pu 244.00 Pu.upf
Hf 178.49 Hf.upf
CELL_PARAMETERS angstrom
-0.4572 1.3803 -2.8045
1.0642 -4.3751 -2.3268
-4.7763 1.0777 1.3090
ATOMIC_POSITIONS crystal
Pa 0.8329 0.6667 0.3333
Pu 0.8341 0.0000 0.0000
Hf 0.3330 0.3333 0.6667
```

Size of the total moment: 1.674 μB/atom
Offset from the most stable computed form: 0.211 kcal/mol of atoms
Final energy: -11.184 eV per atom
E_form: 0.076 eV per atom

***

VASP calculation (PBE) on a relaxed K2VBIr crystal. Values from VASP.

Quantum ESPRESSO input file:
```
&SYSTEM
  ibrav = 0, nat = 5, ntyp = 4
/
ATOMIC_SPECIES
Ir 192.22 Ir.upf
K 39.10 K.upf
B 10.81 B.upf
V 50.94 V.upf
CELL_PARAMETERS angstrom
-1.6329 5.7390 -1.8741
-2.5770 -1.8134 -3.3079
-4.8992 -0.1252 3.8854
ATOMIC_POSITIONS crystal
Ir 0.0000 0.0000 0.0000
K 0.5000 0.0000 0.0000
K 0.0000 0.0000 0.5000
B 0.5000 0.5000 0.5000
V 0.0000 0.5000 0.0000
```

Size of the total moment: 0.894 μB/atom
Final energy: -3.705 eV per atom
E_form: 1.666 eV per atom